Record 1
The following is a GGA-PBEsol calculation of an optimized crystal structure of SrCoTc2, from Alexandria.

Cell and atoms, written as POSCAR:
```
SrCoTc2
1.0
3.082 0.000 0.000
0.000 3.082 0.000
0.000 0.000 7.352
Sr Co Tc
1 1 2
Cartesian
0.000 0.000 0.000
1.541 1.541 5.069
0.000 0.000 3.767
1.541 1.541 2.443
```

Output
Total magnetization ... 2.02 μB per formula unit
Crystal system ... tetragonal
Formation enthalpy at 0 K ... 517 meV per atom
Energy above the most stable polymorph in this dataset ... 0.000 eV per atom



Record 2
The following is a GGA-PBEsol calculation of an optimized crystal structure of SrCoTe, from Alexandria.

Cell and atoms, written as POSCAR:
```
SrCoTe
1.0
4.254 0.000 0.000
-2.127 3.684 0.000
0.000 0.000 4.564
Sr Co Te
1 1 1
Cartesian
0.000 0.000 0.000
2.127 1.228 2.282
0.000 2.456 2.282
```

Output
Formation energy without anion corrections ... -582 meV per atom
Total magnetization ... 0.53 μB per formula unit
Crystal system ... hexagonal
Energy above the most stable polymorph in this dataset ... 0.000 eV per atom